# BaY2Al

A geometry-optimized BaY2Al structure (GGA-PBE, the Alexandria database).

abc: 5.045 5.045 4.948
angles: 90.00 90.00 90.00
Atoms (fractional coordinates):
Y 0.000 0.000 0.000
Y 0.500 0.500 0.000
Ba 0.000 0.500 0.500
Al 0.500 0.000 0.500

The total moment is 0.0 μB per cell. Its density of states at the Fermi level is 4.74 states/eV/cell. Its space group is P4/mmm, No. 123. As for the formation energy: 0.107 eV per atom.